[1]
CoBi3 | PBE | relaxed

Cell lengths 8.194, 8.194, 3.760 Å; angles 90.00, 90.00, 120.00 degrees
Positions (direct):
Co1 0.333 0.667 0.250
Co2 0.667 0.333 0.750
Bi1 0.198 0.395 0.750
Bi2 0.198 0.802 0.750
Bi3 0.395 0.198 0.250
Bi4 0.605 0.802 0.750
Bi5 0.802 0.198 0.250
Bi6 0.802 0.605 0.250

Values from the calculation:
Symmetry   P6_3/mmc, No. 194
ρ   10.4 g/cm3
Crystal system   hexagonal

[2]
Co2Bi | PBE | relaxed

Cell lengths 5.061, 5.061, 5.061 Å; angles 60.00, 60.00, 60.00 degrees
Positions (direct):
Co1 0.000 0.000 0.000
Co2 0.000 0.000 0.500
Co3 0.000 0.500 0.000
Co4 0.500 0.000 0.000
Bi1 0.375 0.375 0.375
Bi2 0.625 0.625 0.625

Values from the calculation:
Symmetry   Fd-3m, No. 227
ρ   11.8 g/cm3
Crystal system   cubic

| no. | M_tot (μB/atom) | total DFT energy (no corrections) (eV per atom) |
| --- | --- | --- |
| 1 | 0.00 | -4.550 |
| 2 | 0.99 | -5.622 |